--- P ---
The following is a SCAN calculation of a PBEsol-optimized structure of Ca2CoBr, from Alexandria.

Cell and atoms, written as CIF:
```
data_Ca2CoBr
_symmetry_space_group_name_H-M 'P 4/m m m'
_symmetry_Int_Tables_number 123
_symmetry_space_group_name_Hall '-P 4 2'
_cell_length_a 5.0811
_cell_length_b 5.0811
_cell_length_c 3.3632
_cell_angle_alpha 90.00
_cell_angle_beta 90.00
_cell_angle_gamma 90.00
loop_
_atom_site_label
_atom_site_type_symbol
_atom_site_fract_x
_atom_site_fract_y
_atom_site_fract_z
_atom_site_occupancy
Ca1 Ca 0.0000 0.5000 0.0000 1
Co1 Co 0.0000 0.0000 0.5000 1
Br1 Br 0.5000 0.5000 0.5000 1
```

V in Å³ per cell: 86.83
DOS(E_F) in states/eV/cell: 2.50
Density in g/cm3: 4.2

***

--- Q ---
The following is a SCAN calculation of a PBEsol-optimized structure of Ca2CoBr, from Alexandria.

Cell and atoms, written as CIF:
```
data_Ca2CoBr
_symmetry_space_group_name_H-M 'P 4 m m'
_symmetry_Int_Tables_number 99
_symmetry_space_group_name_Hall 'P 4 -2'
_cell_length_a 4.1038
_cell_length_b 4.1038
_cell_length_c 5.8050
_cell_angle_alpha 90.00
_cell_angle_beta 90.00
_cell_angle_gamma 90.00
loop_
_atom_site_label
_atom_site_type_symbol
_atom_site_fract_x
_atom_site_fract_y
_atom_site_fract_z
_atom_site_occupancy
Ca1 Ca 0.0000 0.0000 0.0000 1
Ca2 Ca 0.5000 0.5000 0.4323 1
Co1 Co 0.0000 0.0000 0.4368 1
Br1 Br 0.5000 0.5000 0.9262 1
```

V in Å³ per cell: 97.76
DOS(E_F) in states/eV/cell: 3.64
Density in g/cm3: 3.7

***

Which structure loses on stability? P does.

***

--- P ---
The following is a SCAN calculation of a PBEsol-optimized structure of CaHgBr2, from Alexandria.

Cell and atoms, written as CIF:
```
data_CaHgBr2
_symmetry_space_group_name_H-M 'P 4/m m m'
_symmetry_Int_Tables_number 123
_symmetry_space_group_name_Hall '-P 4 2'
_cell_length_a 5.0243
_cell_length_b 5.0243
_cell_length_c 4.1648
_cell_angle_alpha 90.00
_cell_angle_beta 90.00
_cell_angle_gamma 90.00
loop_
_atom_site_label
_atom_site_type_symbol
_atom_site_fract_x
_atom_site_fract_y
_atom_site_fract_z
_atom_site_occupancy
Ca1 Ca 0.0000 0.0000 0.0000 1
Hg1 Hg 0.5000 0.5000 0.0000 1
Br1 Br 0.0000 0.5000 0.5000 1
```

V in Å³ per cell: 105.13
Density in g/cm3: 6.3

***

--- Q ---
The following is a SCAN calculation of a PBEsol-optimized structure of CaHgBr2, from Alexandria.

Cell and atoms, written as CIF:
```
data_CaHgBr2
_symmetry_space_group_name_H-M 'P 1 m 1'
_symmetry_Int_Tables_number 6
_symmetry_space_group_name_Hall 'P -2y'
_cell_length_a 5.1106
_cell_length_b 4.3792
_cell_length_c 6.9318
_cell_angle_alpha 90.00
_cell_angle_beta 111.60
_cell_angle_gamma 90.00
loop_
_atom_site_label
_atom_site_type_symbol
_atom_site_fract_x
_atom_site_fract_y
_atom_site_fract_z
_atom_site_occupancy
Ca1 Ca 0.0000 0.0000 0.0000 1
Hg1 Hg 0.8117 0.5000 0.6213 1
Br1 Br 0.1353 0.5000 0.2684 1
Br2 Br 0.4157 0.0000 0.8312 1
```

V in Å³ per cell: 144.24
DOS(E_F) in states/eV/cell: 0.00
Density in g/cm3: 4.6

***

--- R ---
The following is a SCAN calculation of a PBEsol-optimized structure of CaHgBr2, from Alexandria.

Cell and atoms, written as CIF:
```
data_CaHgBr2
_symmetry_space_group_name_H-M 'R -3 m'
_symmetry_Int_Tables_number 166
_symmetry_space_group_name_Hall '-R 3 2"'
_cell_length_a 4.1408
_cell_length_b 4.1408
_cell_length_c 27.7248
_cell_angle_alpha 90.00
_cell_angle_beta 90.00
_cell_angle_gamma 120.00
loop_
_atom_site_label
_atom_site_type_symbol
_atom_site_fract_x
_atom_site_fract_y
_atom_site_fract_z
_atom_site_occupancy
Ca1 Ca 0.0000 0.0000 0.0000 1
Hg1 Hg 0.0000 0.0000 0.5000 1
Br1 Br 0.0000 0.0000 0.2762 1
```

V in Å³ per cell: 411.69
DOS(E_F) in states/eV/cell: 0.00
Density in g/cm3: 4.8

***

Which structure loses on stability? P does.